[1]
DFT (SCAN) results for Ba2Ag at its PBEsol-relaxed geometry.

Calculated values
Energy, eV/atom: -36.97
Energy relative to the lowest polymorph listed for this composition, meV per atom: 30.2
Energy relative to the elements, kcal/mol of atoms: -3.43

Cell: 7.642 7.935 4.784 Å, 90.00 90.00 90.00°
Sites, in units of the cell vectors:
Ba 0.243 0.166 0.000
Ba 0.257 0.666 0.500
Ba 0.743 0.334 0.500
Ba 0.757 0.834 0.000
Ag 0.000 0.000 0.500
Ag 0.500 0.500 0.000

---

[2]
DFT (SCAN) results for TiPdBr3 at its PBEsol-relaxed geometry.

Calculated values
Energy, eV/atom: -21.79
Energy relative to the lowest polymorph listed for this composition, meV per atom: 0.0
Formation energy without anion corrections, eV per formula unit: -1.785

Cell: 4.994 4.994 4.994 Å, 90.00 90.00 90.00°
Sites, in units of the cell vectors:
Ti 0.000 0.000 0.000
Pd 0.500 0.500 0.500
Br 0.000 0.000 0.500
Br 0.000 0.500 0.000
Br 0.500 0.000 0.000

---

[3]
DFT (SCAN) results for Sc2FePb at its PBEsol-relaxed geometry.

Calculated values
Energy, eV/atom: -30.45
Energy relative to the elements, kcal/mol of atoms: 3.47

Cell: 3.291 3.291 28.228 Å, 90.00 90.00 120.00°
Sites, in units of the cell vectors:
Sc 0.000 0.000 0.108
Sc 0.000 0.000 0.892
Sc 0.333 0.667 0.559
Sc 0.333 0.667 0.775
Sc 0.667 0.333 0.225
Sc 0.667 0.333 0.441
Fe 0.000 0.000 0.500
Fe 0.333 0.667 0.167
Fe 0.667 0.333 0.833
Pb 0.000 0.000 0.000
Pb 0.333 0.667 0.667
Pb 0.667 0.333 0.333

---

[4]
DFT (SCAN) results for YCoAu2 at its PBEsol-relaxed geometry.

Calculated values
Energy, eV/atom: -46.33
Energy relative to the elements, kcal/mol of atoms: -10.64

Cell: 3.397 4.405 5.177 Å, 90.00 90.10 90.00°
Sites, in units of the cell vectors:
Y 0.000 0.000 0.000
Co 0.499 0.500 0.750
Au 0.499 0.000 0.531
Au 0.501 0.500 0.235

---

[5]
DFT (SCAN) results for SiRuPt at its PBEsol-relaxed geometry.

Calculated values
Energy, eV/atom: -38.78
Energy relative to the lowest polymorph listed for this composition, meV per atom: 237.8
Formation energy without anion corrections, eV per formula unit: -1.294

Cell: 2.871 2.871 9.790 Å, 90.00 90.00 90.00°
Sites, in units of the cell vectors:
Si 0.000 0.000 0.000
Si 0.500 0.500 0.500
Ru 0.000 0.000 0.633
Ru 0.500 0.500 0.133
Pt 0.000 0.000 0.341
Pt 0.500 0.500 0.841

---

[6]
DFT (SCAN) results for CrFeRu at its PBEsol-relaxed geometry.

Calculated values
Energy, eV/atom: -23.26
Energy relative to the lowest polymorph listed for this composition, meV per atom: 355.8
Energy relative to the elements, kcal/mol of atoms: 11.94

Cell: 5.445 5.445 5.445 Å, 90.00 90.00 90.00°
Sites, in units of the cell vectors:
Cr 0.000 0.000 0.000
Cr 0.000 0.500 0.500
Cr 0.500 0.000 0.500
Cr 0.500 0.500 0.000
Fe 0.250 0.250 0.750
Fe 0.250 0.750 0.250
Fe 0.750 0.250 0.250
Fe 0.750 0.750 0.750
Ru 0.250 0.250 0.250
Ru 0.250 0.750 0.750
Ru 0.750 0.250 0.750
Ru 0.750 0.750 0.250

---

energy of number 1 (Ba2Ag)?
-36.97 eV/atom